Record 1
## Ni5Pt (PBE)

Data for an optimized crystal structure of Ni5Pt.

a = 5.700 Å, b = 5.700 Å, c = 3.610 Å
α = 90.00°, β = 90.00°, γ = 142.98°
Each line ends with the local moment (μB).
Positions (direct):
Pt  0.972  0.028  0.000  0.30
Ni  0.643  0.357  0.000  0.70
Ni  0.472  0.528  0.500  0.61
Ni  0.301  0.699  0.000  0.70
Ni  0.801  0.199  0.500  0.69
Ni  0.143  0.857  0.500  0.69

Properties
Formation energy from the elements (eV/atom): -0.044
N(E_F) (states/eV per atom): 1.54

Record 2
## LiErZrRu (PBE)

Data for an optimized crystal structure of LiErZrRu.

a = 4.761 Å, b = 4.761 Å, c = 4.761 Å
α = 60.00°, β = 60.00°, γ = 60.00°
Positions (direct):
Ru  0.750  0.750  0.750
Zr  0.000  0.000  0.000
Er  0.500  0.500  0.500
Li  0.250  0.250  0.250

Properties
Formation energy from the elements (eV/atom): -0.279
N(E_F) (states/eV per atom): 0.85

Record 3
## Li2CeIn2Hg2 (PBE)

Data for an optimized crystal structure of Li2CeIn2Hg2.

a = 4.907 Å, b = 4.911 Å, c = 8.129 Å
α = 107.51°, β = 90.00°, γ = 119.98°
Each line ends with the local moment (μB).
Positions (direct):
Hg  0.732  0.464  0.196  0.01
In  0.569  0.139  0.707  0.01
Li  0.852  0.705  0.558  0.00
Hg  0.268  0.536  0.804  0.01
In  0.431  0.861  0.293  0.01
Li  0.148  0.295  0.442  0.00
Ce  0.000  0.000  0.000  0.79

Properties
Formation energy from the elements (eV/atom): -0.336
N(E_F) (states/eV per atom): 1.08

Record 4
## Ac6IrRh2Au3 (PBE)

Data for an optimized crystal structure of Ac6IrRh2Au3.

a = 7.553 Å, b = 7.553 Å, c = 7.913 Å
α = 99.19°, β = 99.19°, γ = 119.86°
Positions (direct):
Ac  0.594  0.927  0.779
Ac  0.406  0.073  0.221
Au  0.500  0.500  0.500
Ac  0.742  0.742  0.221
Ac  0.927  0.594  0.779
Rh  0.334  0.666  0.000
Au  0.833  0.167  0.500
Ir  0.000  0.000  0.000
Ac  0.073  0.406  0.221
Au  0.167  0.833  0.500
Ac  0.258  0.258  0.779
Rh  0.666  0.334  0.000

Properties
Formation energy from the elements (eV/atom): -0.765
N(E_F) (states/eV per atom): 0.53

Record 5
## BaLa2Pb (PBE)

Data for an optimized crystal structure of BaLa2Pb.

a = 5.628 Å, b = 3.865 Å, c = 7.303 Å
α = 75.00°, β = 90.00°, γ = 90.00°
Positions (direct):
Ba  0.500  0.724  0.700
La  0.000  0.050  0.069
Pb  0.000  0.345  0.497
La  0.500  0.381  0.234

Properties
Formation energy from the elements (eV/atom): -0.195
N(E_F) (states/eV per atom): 1.09

Record 6
## YBe4Ge3O12 (PBE)

Data for an optimized crystal structure of YBe4Ge3O12.

a = 6.149 Å, b = 6.149 Å, c = 6.149 Å
α = 105.88°, β = 105.88°, γ = 105.88°
Each line ends with the local moment (μB).
Positions (direct):
O  0.233  0.356  0.969  0.08
O  0.341  0.659  0.500  0.05
O  0.767  0.031  0.644  0.08
O  0.500  0.093  0.907  0.11
O  0.659  0.500  0.341  0.05
O  0.093  0.907  0.500  0.11
O  0.031  0.644  0.767  0.08
O  0.969  0.233  0.356  0.08
O  0.500  0.341  0.659  0.05
O  0.644  0.767  0.031  0.08
O  0.907  0.500  0.093  0.11
Be  0.500  0.500  0.500  0.00
Ge  0.560  0.440  0.000  -0.01
Be  0.066  0.500  0.934  0.00
Ge  0.000  0.560  0.440  -0.01
Be  0.500  0.934  0.066  0.00
Ge  0.440  0.000  0.560  -0.01
O  0.356  0.969  0.233  0.08
Be  0.934  0.066  0.500  0.00
Y  0.000  0.000  0.000  -0.01

Properties
Raw formation energy (meV/atom): -2149
N(E_F) (states/eV per atom): 0.52

Record 7
## SrTmNi4 (PBE)

Data for an optimized crystal structure of SrTmNi4.

a = 5.133 Å, b = 5.133 Å, c = 5.133 Å
α = 60.00°, β = 60.00°, γ = 60.00°
Positions (direct):
Ni  0.624  0.624  0.128
Ni  0.624  0.624  0.624
Tm  0.250  0.250  0.250
Ni  0.624  0.128  0.624
Ni  0.128  0.624  0.624
Sr  0.000  0.000  0.000

Properties
Formation energy from the elements (eV/atom): -0.189
N(E_F) (states/eV per atom): 1.24

Record 8
## Tb3PmDy2Se6 (PBE)

Data for an optimized crystal structure of Tb3PmDy2Se6.

a = 7.116 Å, b = 7.116 Å, c = 7.117 Å
α = 99.55°, β = 99.55°, γ = 120.29°
Positions (direct):
Se  0.258  0.258  0.751
Se  0.916  0.575  0.747
Pm  0.000  0.000  0.000
Se  0.742  0.742  0.249
Se  0.575  0.916  0.747
Tb  0.839  0.161  0.500
Se  0.084  0.425  0.253
Dy  0.334  0.666  0.000
Dy  0.666  0.334  0.000
Tb  0.500  0.500  0.500
Se  0.425  0.084  0.253
Tb  0.161  0.839  0.500

Properties
Raw formation energy (meV/atom): -1777
N(E_F) (states/eV per atom): 0.45

Going through the records in order, we get total DFT energy (no corrections) values of -5.869; -6.354; -2.600; -5.602; -4.067; -6.885; -5.069; -5.840 eV/atom.
Going through the records in order, we get size of the total moment values of 3.50; 0.00; 0.95; 0.00; 0.00; 1.11; 0.00; 0.00 μB per formula unit.